Record 1
A relaxed Pm2TmPaSb4 crystal, computed with GGA-PBE.

## Properties
**Energy relative to the elements, uncorrected**: -971 meV/atom
**SG**: P2/m

Structure (POSCAR):
```
Pm2TmPaSb4
1.0
-0.979 3.468 2.557
-7.181 -0.119 -2.589
0.532 -4.448 6.236
Pm Tm Pa Sb
2 1 1 4
direct
0.500 0.000 0.500
0.000 0.500 0.500
0.500 0.500 0.000
0.000 0.000 0.000
0.500 0.249 0.241
0.500 0.751 0.759
0.000 0.254 0.761
0.000 0.746 0.239
```

=====

Record 2
A relaxed Pm2YPaSb5 crystal, computed with GGA-PBE.

## Properties
**Energy relative to the elements, uncorrected**: -185 meV/atom
**SG**: P4/mmm

Structure (POSCAR):
```
Pm2YPaSb5
1.0
-5.240 0.693 1.440
1.094 -2.041 4.965
2.468 10.676 3.845
Pm Y Pa Sb
2 1 1 5
direct
0.500 0.500 0.275
0.500 0.500 0.725
0.000 0.000 0.000
0.000 0.000 0.500
0.000 0.500 0.500
0.500 0.000 0.500
0.000 0.000 0.754
0.000 0.000 0.246
0.500 0.500 0.000
```

=====

Record 3
A relaxed PmScPa crystal, computed with GGA-PBE.

## Properties
**Offset from the most stable computed form**: 0.000 eV per atom
**Formation energy**: 159.9 meV per atom
**SG**: I4mm

Structure (POSCAR):
```
PmScPa
1.0
-0.133 -3.000 -1.404
-0.361 -1.384 2.991
-7.209 2.810 -1.408
Sc Pa Pm
1 1 1
direct
0.606 0.606 0.212
0.955 0.955 0.911
0.289 0.289 0.577
```

=====

Record 4
A relaxed PmSc2Pa crystal, computed with GGA-PBE.

## Properties
**Offset from the most stable computed form**: 0.136 eV per atom
**Formation energy**: 223.4 meV per atom
**SG**: P4/mmm

Structure (POSCAR):
```
PmSc2Pa
1.0
3.512 0.000 0.000
0.000 5.508 0.000
0.000 0.000 5.508
Sc Pa Pm
2 1 1
direct
0.000 0.000 0.500
0.000 0.500 0.000
0.500 0.500 0.500
0.500 0.000 0.000
```

=====

Record 5
A relaxed PmScPa crystal, computed with GGA-PBE.

## Properties
**Offset from the most stable computed form**: 0.231 eV per atom
**Formation energy**: 390.6 meV per atom
**SG**: R-3m

Structure (POSCAR):
```
PmScPa
1.0
-3.445 0.233 3.693
-2.338 -4.208 1.545
4.099 -2.579 7.447
Sc Pm Pa
2 2 2
direct
0.441 0.441 0.678
0.559 0.559 0.322
0.291 0.291 0.127
0.709 0.709 0.873
0.161 0.161 0.517
0.839 0.839 0.483
```

=====

Record 6
A relaxed PmScPa crystal, computed with GGA-PBE.

## Properties
**Offset from the most stable computed form**: 0.083 eV per atom
**Formation energy**: 243.2 meV per atom
**SG**: P-6m2

Structure (POSCAR):
```
PmScPa
1.0
3.217 0.000 0.000
0.000 5.390 0.000
0.000 -2.695 4.668
Sc Pa Pm
1 1 1
direct
0.667 0.667 0.333
0.167 0.333 0.667
0.166 0.000 0.000
```

=====

Record 7
A relaxed PmSc2Pa crystal, computed with GGA-PBE.

## Properties
**Offset from the most stable computed form**: 0.166 eV per atom
**Formation energy**: 253.3 meV per atom
**SG**: Fm-3m

Structure (POSCAR):
```
PmSc2Pa
1.0
-0.928 3.618 -3.812
-0.138 -1.495 -5.121
-4.635 -0.039 -2.644
Sc Pa Pm
2 1 1
direct
0.250 0.250 0.250
0.750 0.750 0.750
0.000 0.000 0.000
0.500 0.500 0.500
```

=====

Record 8
A relaxed PmSc2Pa crystal, computed with GGA-PBE.

## Properties
**Offset from the most stable computed form**: 0.023 eV per atom
**Formation energy**: 110.3 meV per atom
**SG**: P4/mmm

Structure (POSCAR):
```
PmSc2Pa
1.0
3.336 0.000 0.000
0.000 3.336 0.000
0.000 0.000 9.591
Sc Pa Pm
2 1 1
direct
0.000 0.000 0.769
0.000 0.000 0.231
0.500 0.500 0.000
0.500 0.500 0.500
```

=====

Record 9
A relaxed PmSc2Pa crystal, computed with GGA-PBE.

## Properties
**Offset from the most stable computed form**: 0.000 eV per atom
**Formation energy**: 87.7 meV per atom
**SG**: R3m

Structure (POSCAR):
```
PmSc2Pa
1.0
-3.125 0.728 -0.801
-0.986 -0.188 -3.151
-4.228 -10.411 0.210
Pm Sc Pa
1 2 1
direct
0.666 0.666 0.001
0.087 0.087 0.739
0.246 0.246 0.261
0.500 0.500 0.500
```

=====

Record 10
A relaxed PmScPaSn crystal, computed with GGA-PBE.

## Properties
**Formation energy**: 0.9 meV per atom
**SG**: F-43m

Structure (POSCAR):
```
PmScPaSn
1.0
-3.325 -3.728 -1.641
0.823 -5.022 1.320
-3.194 -2.372 3.437
Sc Pa Sn Pm
1 1 1 1
direct
0.500 0.500 0.500
0.750 0.750 0.750
0.250 0.250 0.250
0.000 0.000 0.000
```

=====

Record 11
A relaxed PmTmScPa crystal, computed with GGA-PBE.

## Properties
**Formation energy**: 347.6 meV per atom
**SG**: F-43m

Structure (POSCAR):
```
PmTmScPa
1.0
5.441 0.000 0.000
2.721 4.712 0.000
2.721 1.571 4.443
Sc Pa Tm Pm
1 1 1 1
direct
0.000 0.000 0.000
0.750 0.750 0.750
0.250 0.250 0.250
0.500 0.500 0.500
```

=====

Record 12
A relaxed PmPaSe2 crystal, computed with GGA-PBE.

## Properties
**Offset from the most stable computed form**: 0.204 eV per atom
**Energy relative to the elements, uncorrected**: -1286 meV/atom
**SG**: P4/mmm

Structure (POSCAR):
```
PmPaSe2
1.0
3.584 0.000 0.000
0.000 3.584 0.000
0.000 0.000 7.169
Pa Se Pm
1 2 1
direct
0.500 0.500 0.000
0.000 0.000 0.760
0.000 0.000 0.240
0.500 0.500 0.500
```

=====

Record 13
A relaxed PmPa4Se8 crystal, computed with GGA-PBE.

## Properties
**Energy relative to the elements, uncorrected**: -1279 meV/atom
**SG**: F-43m

Structure (POSCAR):
```
PmPa4Se8
1.0
-1.401 -3.261 7.679
1.538 -8.189 1.463
6.522 -2.272 4.885
Pm Pa Se
1 4 8
direct
0.750 0.750 0.750
0.888 0.371 0.371
0.371 0.888 0.371
0.371 0.371 0.888
0.371 0.371 0.371
0.605 0.132 0.132
0.132 0.605 0.132
0.132 0.132 0.605
0.132 0.132 0.132
0.155 0.615 0.615
0.615 0.155 0.615
0.615 0.615 0.155
0.615 0.615 0.615
```

=====

Record 14
A relaxed PmPaSe2 crystal, computed with GGA-PBE.

## Properties
**Offset from the most stable computed form**: 0.070 eV per atom
**Energy relative to the elements, uncorrected**: -1420 meV/atom
**SG**: R3m

Structure (POSCAR):
```
PmPaSe2
1.0
-2.588 2.933 -0.246
-3.605 -0.439 1.473
0.347 3.520 7.114
Pm Pa Se
1 1 2
direct
0.497 0.497 0.509
0.669 0.669 0.992
0.082 0.082 0.753
0.251 0.251 0.246
```

=====

Record 15
A relaxed PmPa6Se12 crystal, computed with GGA-PBE.

## Properties
**Energy relative to the elements, uncorrected**: -1312 meV/atom
**SG**: R-3

Structure (POSCAR):
```
PmPa6Se12
1.0
8.341 -0.128 -0.153
-1.391 8.225 -0.153
-1.391 -1.621 8.066
Pm Pa Se
1 6 12
direct
0.000 0.000 0.000
0.688 0.864 0.371
0.629 0.312 0.136
0.136 0.629 0.312
0.312 0.136 0.629
0.371 0.688 0.864
0.864 0.371 0.688
0.824 0.579 0.435
0.435 0.824 0.579
0.579 0.435 0.824
0.176 0.421 0.565
0.565 0.176 0.421
0.421 0.565 0.176
0.067 0.952 0.333
0.048 0.667 0.933
0.667 0.933 0.048
0.933 0.048 0.667
0.952 0.333 0.067
0.333 0.067 0.952
```

=====

Record 16
A relaxed Pm4Pa3Se8 crystal, computed with GGA-PBE.

## Properties
**Energy relative to the elements, uncorrected**: -1597 meV/atom
**SG**: C2/m

Structure (POSCAR):
```
Pm4Pa3Se8
1.0
7.225 -0.171 -3.972
-4.670 6.775 -0.211
-0.188 0.122 8.228
Pm Pa Se
4 3 8
direct
0.500 0.000 0.000
0.000 0.500 0.000
0.000 0.000 0.000
0.000 0.000 0.500
0.500 0.500 0.000
0.500 0.000 0.500
0.500 0.500 0.500
0.516 0.260 0.260
0.000 0.743 0.257
0.008 0.262 0.262
0.500 0.749 0.251
0.500 0.251 0.749
0.992 0.738 0.738
0.000 0.257 0.743
0.484 0.740 0.740
```

=====

Record 17
A relaxed Pm2Pa3Se8 crystal, computed with GGA-PBE.

## Properties
**Offset from the most stable computed form**: 0.031 eV per atom
**Energy relative to the elements, uncorrected**: -1460 meV/atom
**SG**: C2/m

Structure (POSCAR):
```
Pm2Pa3Se8
1.0
-0.600 -5.127 4.494
6.840 -3.416 -2.984
0.654 7.034 4.735
Pm Pa Se
2 3 8
direct
0.331 0.257 0.513
0.669 0.743 0.487
0.500 0.000 0.000
0.000 0.243 0.000
0.000 0.757 0.000
0.907 0.608 0.217
0.093 0.392 0.783
0.915 0.126 0.252
0.085 0.874 0.748
0.585 0.635 0.752
0.585 0.117 0.752
0.415 0.883 0.248
0.415 0.365 0.248
```

=====

Record 18
A relaxed PmPa2Se5 crystal, computed with GGA-PBE.

## Properties
**Offset from the most stable computed form**: 0.006 eV per atom
**Energy relative to the elements, uncorrected**: -1474 meV/atom
**SG**: I4/mcm

Structure (POSCAR):
```
PmPa2Se5
1.0
-5.149 4.849 2.961
-5.409 -5.406 -0.553
6.801 -1.877 4.971
Pm Pa Se
2 4 10
direct
0.750 0.750 0.500
0.250 0.250 0.500
0.149 0.351 0.000
0.649 0.149 0.000
0.351 0.851 0.000
0.851 0.649 0.000
0.512 0.696 0.708
0.804 0.988 0.292
0.000 0.000 0.000
0.500 0.500 0.000
0.196 0.012 0.708
0.696 0.196 0.708
0.012 0.512 0.708
0.304 0.804 0.292
0.988 0.488 0.292
0.488 0.304 0.292
```

=====

Record 19
A relaxed PmPa5Se6 crystal, computed with GGA-PBE.

## Properties
**Energy relative to the elements, uncorrected**: -1295 meV/atom
**SG**: C2/m

Structure (POSCAR):
```
PmPa5Se6
1.0
-0.341 1.671 -6.778
6.155 -1.074 3.133
-2.348 -6.910 -0.374
Pa Se Pm
5 6 1
direct
0.837 0.163 0.500
0.668 0.332 0.000
0.500 0.500 0.500
0.332 0.668 0.000
0.163 0.837 0.500
0.421 0.085 0.252
0.915 0.579 0.748
0.255 0.255 0.753
0.745 0.745 0.247
0.085 0.421 0.252
0.579 0.915 0.748
0.000 0.000 0.000
```

=====

Record 20
A relaxed PmPaSe2 crystal, computed with GGA-PBE.

## Properties
**Offset from the most stable computed form**: 0.253 eV per atom
**Energy relative to the elements, uncorrected**: -1237 meV/atom
**SG**: Fm-3m

Structure (POSCAR):
```
PmPaSe2
1.0
-2.799 -1.538 3.919
1.906 -3.291 3.331
1.152 1.522 4.682
Pa Se Pm
1 2 1
direct
0.500 0.500 0.500
0.250 0.250 0.250
0.750 0.750 0.750
0.000 0.000 0.000
```

=====

Record 21
A relaxed PmPaSe2 crystal, computed with GGA-PBE.

## Properties
**Offset from the most stable computed form**: 0.028 eV per atom
**Energy relative to the elements, uncorrected**: -1462 meV/atom
**SG**: P6_3/mmc

Structure (POSCAR):
```
PmPaSe2
1.0
3.991 0.000 0.000
-1.996 3.457 0.000
0.000 0.000 14.525
Pm Pa Se
2 2 4
direct
0.667 0.333 0.250
0.333 0.667 0.750
0.000 0.000 0.500
0.000 0.000 0.000
0.333 0.667 0.378
0.667 0.333 0.878
0.667 0.333 0.622
0.333 0.667 0.122
```

=====

Record 22
A relaxed Pm4PaSe5 crystal, computed with GGA-PBE.

## Properties
**Offset from the most stable computed form**: 0.000 eV per atom
**Energy relative to the elements, uncorrected**: -1703 meV/atom
**SG**: Immm

Structure (POSCAR):
```
Pm4PaSe5
1.0
4.059 0.000 -0.783
-0.303 5.662 -1.572
0.040 0.031 11.117
Pm Pa Se
4 1 5
direct
0.401 0.401 0.801
0.806 0.806 0.612
0.194 0.194 0.388
0.599 0.599 0.199
0.000 0.000 0.000
0.596 0.096 0.192
0.797 0.297 0.595
0.203 0.703 0.405
0.000 0.500 0.000
0.404 0.904 0.808
```

=====

Record 23
A relaxed Pm4PaSe5 crystal, computed with GGA-PBE.

## Properties
**Offset from the most stable computed form**: 0.003 eV per atom
**Energy relative to the elements, uncorrected**: -1699 meV/atom
**SG**: R-3m

Structure (POSCAR):
```
Pm4PaSe5
1.0
-0.073 1.525 -3.839
-3.458 1.710 -1.478
3.886 16.536 4.271
Pm Pa Se
4 1 5
direct
0.898 0.898 0.305
0.300 0.300 0.099
0.700 0.700 0.901
0.102 0.102 0.695
0.500 0.500 0.500
0.401 0.401 0.798
0.000 0.000 0.000
0.599 0.599 0.202
0.801 0.801 0.596
0.199 0.199 0.404
```

=====

Record 24
A relaxed PmPa2Se6 crystal, computed with GGA-PBE.

## Properties
**Offset from the most stable computed form**: 0.000 eV per atom
**Energy relative to the elements, uncorrected**: -1472 meV/atom
**SG**: C2/m

Structure (POSCAR):
```
PmPa2Se6
1.0
-1.098 4.074 0.127
-3.942 -1.293 7.386
9.018 0.167 2.490
Pm Pa Se
1 2 6
direct
0.500 0.000 0.000
0.834 0.672 0.668
0.166 0.328 0.332
0.333 0.893 0.666
0.012 0.246 0.023
0.673 0.559 0.346
0.988 0.754 0.977
0.667 0.107 0.334
0.327 0.441 0.654
```

=====

Record 25
A relaxed Pm2Pa2Se5 crystal, computed with GGA-PBE.

## Properties
**Energy relative to the elements, uncorrected**: -1243 meV/atom
**SG**: P-3m1

Structure (POSCAR):
```
Pm2Pa2Se5
1.0
-0.151 4.096 0.560
-1.532 -1.672 -3.460
-17.275 -1.801 8.517
Pm Pa Se
2 2 5
direct
0.333 0.667 0.590
0.667 0.333 0.410
0.333 0.667 0.177
0.667 0.333 0.823
0.000 0.000 0.500
0.333 0.667 0.323
0.667 0.333 0.677
0.333 0.667 0.902
0.667 0.333 0.098
```

=====

no.,M_tot (μB per cell)
1,0.773
2,0.000
3,0.002
4,0.014
5,0.000
6,0.002
7,0.001
8,0.361
9,0.000
10,1.365
11,0.026
12,1.179
13,6.869
14,1.536
15,9.073
16,1.447
17,4.945
18,5.934
19,2.474
20,0.783
21,1.954
22,0.000
23,0.930
24,1.076
25,4.629